A relaxed structure of Li3Cd2, computed with GGA-PBE.

Structure (POSCAR):
```
Li3Cd2
1.0
7.4233 2.5367 3.5371
4.7635 5.8885 0.0090
0.2648 0.9722 5.4536
Li Cd
6 4
direct
0.7263 0.4768 0.3387
0.4582 0.3387 0.4768
0.7732 0.5237 0.7918
0.9113 0.7918 0.5237
0.0728 0.9272 0.9272
0.3228 0.1772 0.1772
0.1924 0.9090 0.3483
0.5504 0.3483 0.9090
0.3410 0.0576 0.6996
0.9017 0.6996 0.0576
```

formation enthalpy at 0 K = -1.10 eV per formula unit
energy above the lowest structure with this stoichiometry = 0.001 eV per atom
energy = -17.3 eV per cell